Here is a relaxed structure of ThMgCoAg from the Alexandria database. Energies are from PBE-GGA.

```
data_ThMgCoAg
_cell_length_a 6.910
_cell_length_b 6.910
_cell_length_c 6.910
_cell_angle_alpha 90.00
_cell_angle_beta 90.00
_cell_angle_gamma 90.00
_space_group_name_H-M_alt 'F -4 3 m'
_space_group_IT_number 216
_space_group_name_Hall 'F -4 2 3'
loop_
_atom_site_label
_atom_site_fract_x
_atom_site_fract_y
_atom_site_fract_z
Th1 0.000 0.000 0.000
Mg1 0.000 0.000 0.500
Co1 0.250 0.250 0.750
Ag1 0.250 0.250 0.250
```

Calculated values
E_form (kcal/mol of atoms): 0.03
Total magnetization (Bohr magnetons per cell): 2.474
Crystal system: cubic
Calculated volume (Å³/atom): 20.6